Computed, not measured: a geometry-optimized TbNd2Th3S6 structure at the PBE-GGA level of DFT.

Computed properties:
**Raw total energy**: -84.15 eV per cell

abc: 6.925 6.925 7.049
angles: 99.38 99.38 119.60
Atoms (fractional coordinates):
Tb: 0.000 0.000 0.000
Nd: 0.334 0.666 0.000
Nd: 0.666 0.334 0.000
Th: 0.171 0.829 0.500
Th: 0.829 0.171 0.500
Th: 0.500 0.500 0.500
S: 0.919 0.594 0.756
S: 0.758 0.758 0.249
S: 0.081 0.406 0.244
S: 0.594 0.919 0.756
S: 0.242 0.242 0.751
S: 0.406 0.081 0.244

=====

Computed, not measured: a geometry-optimized Tb2NdTh3S6 structure at the PBE-GGA level of DFT.

Computed properties:
**Raw total energy**: -83.98 eV per cell

abc: 6.859 6.859 7.051
angles: 99.29 99.29 119.59
Atoms (fractional coordinates):
Tb: 0.333 0.667 0.000
Tb: 0.667 0.333 0.000
Nd: 0.000 0.000 0.000
Th: 0.163 0.837 0.500
Th: 0.837 0.163 0.500
Th: 0.500 0.500 0.500
S: 0.919 0.578 0.758
S: 0.738 0.738 0.237
S: 0.081 0.422 0.242
S: 0.578 0.919 0.758
S: 0.262 0.262 0.763
S: 0.422 0.081 0.242

=====

The records above yield D(E_F) values of 7.3; 7.1 states/eV/cell, respectively.
The records above yield energy relative to the elements, uncorrected values of -1.913; -1.911 eV per atom, respectively.
The records above yield size of the total moment values of 0.00; 0.00 μB per formula unit, respectively.